First-principles (SCAN) data for a PBEsol-optimized structure of Tl2ZnBiMo, as listed in Alexandria.

Cell lengths 5.206, 5.917, 5.917 Å; angles 90.00, 90.00, 90.00 degrees
Element x y z (fractional)
Mo  0.500  0.500  0.500
Zn  0.500  0.000  0.000
Tl  0.000  0.000  0.500
Tl  0.000  0.500  0.000
Bi  0.000  0.000  0.000

## Properties
VASP energy, eV/atom: -53.002
Space group: No. 123
Energy of formation, eV per atom: 1.337
Crystal system: tetragonal



First-principles (SCAN) data for a PBEsol-optimized structure of NaBiNO2, as listed in Alexandria.

Cell lengths 4.025, 4.049, 4.049 Å; angles 90.00, 90.00, 90.00 degrees
Element x y z (fractional)
Na  0.000  0.000  0.000
Bi  0.500  0.500  0.500
O  0.000  0.000  0.500
O  0.000  0.500  0.000
N  0.500  0.000  0.000

## Properties
VASP energy, eV/atom: -20.304
Formation energy without anion corrections, eV/atom: 0.605
Space group: No. 123
Crystal system: tetragonal



First-principles (SCAN) data for a PBEsol-optimized structure of Na2TiBiN, as listed in Alexandria.

Cell lengths 3.917, 4.924, 4.924 Å; angles 90.00, 90.00, 90.00 degrees
Element x y z (fractional)
Na  0.000  0.000  0.500
Na  0.000  0.500  0.000
N  0.000  0.000  0.000
Bi  0.500  0.500  0.500
Ti  0.500  0.000  0.000

## Properties
VASP energy, eV/atom: -22.882
Formation energy without anion corrections, eV/atom: -0.416
Space group: No. 123
Crystal system: tetragonal



First-principles (SCAN) data for a PBEsol-optimized structure of Na2BiWN, as listed in Alexandria.

Cell lengths 4.397, 4.397, 5.051 Å; angles 90.00, 90.00, 90.00 degrees
Element x y z (fractional)
Na  0.000  0.500  0.000
Na  0.500  0.000  0.000
Bi  0.000  0.000  0.500
W  0.500  0.500  0.500
N  0.000  0.000  0.000

## Properties
VASP energy, eV/atom: -31.983
Formation energy without anion corrections, eV/atom: 1.215
Space group: No. 123
Crystal system: tetragonal



First-principles (SCAN) data for a PBEsol-optimized structure of NbBiN3, as listed in Alexandria.

Cell lengths 4.155, 4.155, 4.155 Å; angles 90.00, 90.00, 90.00 degrees
Element x y z (fractional)
Nb  0.500  0.500  0.500
Bi  0.000  0.000  0.000
N  0.000  0.500  0.000
N  0.000  0.000  0.500
N  0.500  0.000  0.000

## Properties
VASP energy, eV/atom: -25.988
Formation energy without anion corrections, eV/atom: 1.929
Space group: No. 221
Crystal system: cubic



First-principles (SCAN) data for a PBEsol-optimized structure of NiBiN2, as listed in Alexandria.

Cell lengths 3.460, 3.460, 6.212 Å; angles 73.83, 73.83, 60.00 degrees
Element x y z (fractional)
Ni  0.000  0.000  0.000
Bi  0.500  0.500  0.500
N  0.901  0.901  0.297
N  0.099  0.099  0.703

## Properties
VASP energy, eV/atom: -27.421
Formation energy without anion corrections, eV/atom: 0.912
Space group: No. 166
Crystal system: trigonal



Question: The highest VASP energy belongs to which entry?
Answer: NaBiNO2



Question: VASP energy of number 4 (Na2BiWN)?
Answer: -31.983 eV/atom